[1]
{"formula": "LiSiMo2", "functional": "GGA-PBE", "state": "optimized geometry", "final_energy_ev_per_atom": -7.263, "formation_energy_uncorrected_ev_per_fu": -0.1, "space_group": "No. 6", "lattice_angstrom": [[2.725, 0.000, 0.000], [0.000, 4.241, 0.000], [-0.761, 0.000, 4.867]], "species": ["Li", "Si", "Mo", "Mo"], "frac_coords": [[0.000, 0.000, 0.000], [0.013, 0.500, 0.741], [0.430, 0.000, 0.506], [0.617, 0.500, 0.222]]}

[2]
{"formula": "BiB2PbS", "functional": "GGA-PBE", "state": "optimized geometry", "final_energy_ev_per_atom": -3.596, "formation_energy_uncorrected_ev_per_fu": 7.1, "space_group": "No. 123", "lattice_angstrom": [[4.344, 0.000, 0.000], [0.000, 4.344, 0.000], [0.000, 0.000, 5.509]], "species": ["Bi", "B", "B", "Pb", "S"], "frac_coords": [[0.000, 0.000, 0.000], [0.000, 0.500, 0.500], [0.500, 0.000, 0.500], [0.500, 0.500, 0.000], [0.500, 0.500, 0.500]]}

[3]
{"formula": "GaOsRu2", "functional": "GGA-PBE", "state": "optimized geometry", "final_energy_ev_per_atom": -8.266, "space_group": "No. 123", "ef_ev_per_atom": -0.0643, "lattice_angstrom": [[2.815, 0.000, 0.000], [0.000, 2.815, 0.000], [0.000, 0.000, 7.097]], "species": ["Ga", "Os", "Ru", "Ru"], "frac_coords": [[0.000, 0.000, 0.000], [0.000, 0.000, 0.500], [0.500, 0.500, 0.246], [0.500, 0.500, 0.754]]}

[4]
{"formula": "LiHgPd3", "functional": "GGA-PBE", "state": "optimized geometry", "final_energy_ev_per_atom": -3.434, "space_group": "No. 221", "ef_ev_per_atom": 0.1252, "relative_energy_mev_per_atom": 379, "lattice_angstrom": [[4.326, 0.000, 0.000], [0.000, 4.326, 0.000], [0.000, 0.000, 4.326]], "species": ["Li", "Hg", "Pd", "Pd", "Pd"], "frac_coords": [[0.000, 0.000, 0.000], [0.500, 0.500, 0.500], [0.000, 0.000, 0.500], [0.000, 0.500, 0.000], [0.500, 0.000, 0.000]]}

[5]
{"formula": "NaPd4O8", "functional": "GGA-PBE", "state": "optimized geometry", "final_energy_ev_per_atom": -5.266, "formation_energy_uncorrected_ev_per_fu": -6.7, "space_group": "No. 166", "relative_energy_mev_per_atom": 0, "lattice_angstrom": [[3.114, 1.798, 5.680], [-3.114, 1.798, 5.680], [0.000, -3.596, 5.680]], "species": ["Na", "Pd", "Pd", "Pd", "Pd", "O", "O", "O", "O", "O", "O", "O", "O"], "frac_coords": [[0.000, 0.000, 0.000], [0.000, 0.000, 0.500], [0.000, 0.500, 0.000], [0.500, 0.000, 0.000], [0.500, 0.500, 0.500], [0.216, 0.732, 0.732], [0.225, 0.225, 0.225], [0.268, 0.268, 0.784], [0.268, 0.784, 0.268], [0.732, 0.216, 0.732], [0.732, 0.732, 0.216], [0.775, 0.775, 0.775], [0.784, 0.268, 0.268]]}

[6]
{"formula": "LaSi", "functional": "GGA-PBE", "state": "optimized geometry", "final_energy_ev_per_atom": -5.642, "formation_energy_uncorrected_ev_per_fu": -0.9, "space_group": "No. 59", "lattice_angstrom": [[5.164, 0.000, 0.000], [0.000, 5.632, 0.000], [0.000, 0.000, 3.623]], "species": ["La", "La", "Si", "Si"], "frac_coords": [[0.250, 0.250, 0.122], [0.750, 0.750, 0.878], [0.250, 0.750, 0.445], [0.750, 0.250, 0.555]]}

[7]
{"formula": "Tb4HoNi2", "functional": "GGA-PBE", "state": "optimized geometry", "final_energy_ev_per_atom": -5.093, "space_group": "No. 11", "ef_ev_per_atom": -0.1417, "lattice_angstrom": [[7.479, 0.000, 0.000], [0.000, 6.403, 0.000], [-3.042, 0.000, 7.346]], "species": ["Tb", "Tb", "Tb", "Tb", "Tb", "Tb", "Tb", "Tb", "Ho", "Ho", "Ni", "Ni", "Ni", "Ni"], "frac_coords": [[0.027, 0.250, 0.386], [0.250, 0.750, 0.345], [0.407, 0.006, 0.769], [0.407, 0.494, 0.769], [0.593, 0.506, 0.231], [0.593, 0.994, 0.231], [0.750, 0.250, 0.655], [0.973, 0.750, 0.614], [0.150, 0.250, 0.029], [0.850, 0.750, 0.971], [0.253, 0.750, 0.996], [0.381, 0.250, 0.408], [0.619, 0.750, 0.592], [0.747, 0.250, 0.004]]}

[8]
{"formula": "Ti6Zn5Re", "functional": "GGA-PBE", "state": "optimized geometry", "final_energy_ev_per_atom": -5.766, "space_group": "No. 65", "ef_ev_per_atom": -0.2507, "lattice_angstrom": [[2.226, -6.658, 0.000], [2.226, 6.658, 0.000], [0.000, 0.000, 6.271]], "species": ["Ti", "Ti", "Ti", "Ti", "Ti", "Ti", "Zn", "Zn", "Zn", "Zn", "Zn", "Re"], "frac_coords": [[0.000, 0.000, 0.247], [0.000, 0.000, 0.753], [0.336, 0.664, 0.246], [0.336, 0.664, 0.754], [0.664, 0.336, 0.246], [0.664, 0.336, 0.754], [0.166, 0.834, 0.000], [0.169, 0.831, 0.500], [0.500, 0.500, 0.500], [0.831, 0.169, 0.500], [0.834, 0.166, 0.000], [0.500, 0.500, 0.000]]}

[9]
{"formula": "InFe2Mo", "functional": "GGA-PBE", "state": "optimized geometry", "final_energy_ev_per_atom": -7.411, "space_group": "No. 123", "ef_ev_per_atom": 0.2123, "lattice_angstrom": [[3.037, 0.000, 0.000], [0.000, 3.037, 0.000], [0.000, 0.000, 6.241]], "species": ["In", "Fe", "Fe", "Mo"], "frac_coords": [[0.000, 0.000, 0.000], [0.500, 0.500, 0.284], [0.500, 0.500, 0.716], [0.000, 0.000, 0.500]]}

[10]
{"formula": "As2OsW", "functional": "GGA-PBE", "state": "optimized geometry", "final_energy_ev_per_atom": -7.553, "space_group": "No. 122", "ef_ev_per_atom": 0.8173, "relative_energy_mev_per_atom": 739, "lattice_angstrom": [[5.682, 0.000, 0.000], [0.000, 5.682, 0.000], [0.000, 0.000, 10.865]], "species": ["As", "As", "As", "As", "As", "As", "As", "As", "Os", "Os", "Os", "Os", "W", "W", "W", "W"], "frac_coords": [[0.236, 0.250, 0.125], [0.250, 0.736, 0.375], [0.250, 0.764, 0.875], [0.264, 0.250, 0.625], [0.736, 0.750, 0.625], [0.750, 0.236, 0.875], [0.750, 0.264, 0.375], [0.764, 0.750, 0.125], [0.000, 0.000, 0.000], [0.000, 0.500, 0.250], [0.500, 0.000, 0.750], [0.500, 0.500, 0.500], [0.000, 0.000, 0.500], [0.000, 0.500, 0.750], [0.500, 0.000, 0.250], [0.500, 0.500, 0.000]]}

[11]
{"formula": "YIn4Au2", "functional": "GGA-PBE", "state": "optimized geometry", "final_energy_ev_per_atom": -3.801, "space_group": "No. 11", "ef_ev_per_atom": -0.3766, "lattice_angstrom": [[7.740, 0.000, 0.000], [0.000, 4.536, 0.000], [-2.905, 0.000, 9.313]], "species": ["Y", "Y", "In", "In", "In", "In", "In", "In", "In", "In", "Au", "Au", "Au", "Au"], "frac_coords": [[0.173, 0.250, 0.290], [0.827, 0.750, 0.710], [0.095, 0.250, 0.628], [0.100, 0.250, 0.932], [0.457, 0.750, 0.866], [0.497, 0.750, 0.370], [0.503, 0.250, 0.630], [0.543, 0.250, 0.134], [0.900, 0.750, 0.068], [0.905, 0.750, 0.372], [0.269, 0.750, 0.552], [0.279, 0.750, 0.082], [0.721, 0.250, 0.918], [0.731, 0.250, 0.448]]}

[12]
{"formula": "GaHS3", "functional": "GGA-PBE", "state": "optimized geometry", "final_energy_ev_per_atom": -2.925, "space_group": "No. 221", "relative_energy_mev_per_atom": 1090, "lattice_angstrom": [[4.149, 0.000, 0.000], [0.000, 4.149, 0.000], [0.000, 0.000, 4.149]], "species": ["Ga", "H", "S", "S", "S"], "frac_coords": [[0.000, 0.000, 0.000], [0.500, 0.500, 0.500], [0.000, 0.500, 0.500], [0.500, 0.000, 0.500], [0.500, 0.500, 0.000]]}

[13]
{"formula": "Li2Sn2Hg", "functional": "GGA-PBE", "state": "optimized geometry", "final_energy_ev_per_atom": -2.635, "space_group": "No. 127", "ef_ev_per_atom": -0.2078, "relative_energy_mev_per_atom": 44, "lattice_angstrom": [[8.174, 0.000, 0.000], [0.000, 8.174, 0.000], [0.000, 0.000, 3.366]], "species": ["Li", "Li", "Li", "Li", "Sn", "Sn", "Sn", "Sn", "Hg", "Hg"], "frac_coords": [[0.176, 0.324, 0.000], [0.324, 0.824, 0.000], [0.676, 0.176, 0.000], [0.824, 0.676, 0.000], [0.127, 0.627, 0.500], [0.373, 0.127, 0.500], [0.627, 0.873, 0.500], [0.873, 0.373, 0.500], [0.000, 0.000, 0.500], [0.500, 0.500, 0.500]]}

[14]
{"formula": "ZrMn2Fe9", "functional": "GGA-PBE", "state": "optimized geometry", "final_energy_ev_per_atom": -8.539, "space_group": "No. 166", "ef_ev_per_atom": 0.0488, "lattice_angstrom": [[2.378, 1.373, 7.773], [-2.378, 1.373, 7.773], [0.000, -2.746, 7.773]], "species": ["Zr", "Mn", "Mn", "Fe", "Fe", "Fe", "Fe", "Fe", "Fe", "Fe", "Fe", "Fe"], "frac_coords": [[0.000, 0.000, 0.000], [0.146, 0.146, 0.146], [0.854, 0.854, 0.854], [0.081, 0.589, 0.589], [0.334, 0.334, 0.334], [0.411, 0.411, 0.919], [0.411, 0.919, 0.411], [0.500, 0.500, 0.500], [0.589, 0.081, 0.589], [0.589, 0.589, 0.081], [0.666, 0.666, 0.666], [0.919, 0.411, 0.411]]}

[15]
{"formula": "RbSn2Au4", "functional": "GGA-PBE", "state": "optimized geometry", "final_energy_ev_per_atom": -3.390, "space_group": "No. 140", "ef_ev_per_atom": -0.2350, "relative_energy_mev_per_atom": 0, "lattice_angstrom": [[-4.633, 4.633, 4.129], [4.633, -4.633, 4.129], [4.633, 4.633, -4.129]], "species": ["Rb", "Rb", "Sn", "Sn", "Sn", "Sn", "Au", "Au", "Au", "Au", "Au", "Au", "Au", "Au"], "frac_coords": [[0.250, 0.250, 0.000], [0.750, 0.750, 0.000], [0.139, 0.639, 0.778], [0.361, 0.139, 0.500], [0.639, 0.861, 0.500], [0.861, 0.361, 0.222], [0.014, 0.818, 0.500], [0.182, 0.682, 0.196], [0.318, 0.514, 0.500], [0.486, 0.986, 0.804], [0.514, 0.014, 0.196], [0.682, 0.486, 0.500], [0.818, 0.318, 0.804], [0.986, 0.182, 0.500]]}

| no. | total magnetization (μB/f.u.) |
| --- | --- |
| 1 | 0.000 |
| 2 | 0.000 |
| 3 | 0.000 |
| 4 | 0.000 |
| 5 | 0.854 |
| 6 | 0.000 |
| 7 | 0.000 |
| 8 | 0.000 |
| 9 | 1.160 |
| 10 | 0.824 |
| 11 | 0.000 |
| 12 | 0.000 |
| 13 | 0.000 |
| 14 | 22.114 |
| 15 | 0.000 |